Record 1
# PBE TmMn6, relaxed
data_TmMn6
_symmetry_space_group_name_H-M 'I m -3 m'
_symmetry_Int_Tables_number 229
_symmetry_space_group_name_Hall '-I 4 2 3'
_cell_length_a 6.064
_cell_length_b 6.064
_cell_length_c 6.064
_cell_angle_alpha 90.00
_cell_angle_beta 90.00
_cell_angle_gamma 90.00
loop_
_atom_site_label
_atom_site_fract_x
_atom_site_fract_y
_atom_site_fract_z
Tm1 0.000 0.000 0.000
Mn1 0.000 0.250 0.500
# Magnetization: 0.00 μB/f.u.
# ΔE_f: 681.4 meV/atom
# Electronic total energy: -109.4 eV per cell
# Relative energy among the computed polymorphs: 650.5 meV/atom

=====

Record 2
# PBE PrTmAg4, relaxed
data_PrTmAg4
_symmetry_space_group_name_H-M 'F -4 3 m'
_symmetry_Int_Tables_number 216
_symmetry_space_group_name_Hall 'F -4 2 3'
_cell_length_a 8.127
_cell_length_b 8.127
_cell_length_c 8.127
_cell_angle_alpha 90.00
_cell_angle_beta 90.00
_cell_angle_gamma 90.00
loop_
_atom_site_label
_atom_site_fract_x
_atom_site_fract_y
_atom_site_fract_z
Pr1 0.000 0.000 0.000
Tm1 0.250 0.250 0.750
Ag1 0.124 0.124 0.376
# Magnetization: 0.00 μB/f.u.
# ΔE_f: -158.2 meV/atom
# Electronic total energy: -86.4 eV per cell
# Relative energy among the computed polymorphs: 110.4 meV/atom

=====

Record 3
# PBE Sc2AlB, relaxed
data_Sc2AlB
_symmetry_space_group_name_H-M 'F m -3 m'
_symmetry_Int_Tables_number 225
_symmetry_space_group_name_Hall '-F 4 2 3'
_cell_length_a 6.386
_cell_length_b 6.386
_cell_length_c 6.386
_cell_angle_alpha 90.00
_cell_angle_beta 90.00
_cell_angle_gamma 90.00
loop_
_atom_site_label
_atom_site_fract_x
_atom_site_fract_y
_atom_site_fract_z
Sc1 0.250 0.250 0.250
Al1 0.000 0.000 0.000
B1 0.000 0.000 0.500
# Magnetization: 0.00 μB/f.u.
# ΔE_f: 24.6 meV/atom
# Electronic total energy: -91.9 eV per cell
# Relative energy among the computed polymorphs: 0.0 meV/atom

=====

Record 4
# PBE Er3TlIr, relaxed
data_Er3TlIr
_symmetry_space_group_name_H-M 'P m m n'
_symmetry_Int_Tables_number 59
_cell_length_a 4.716
_cell_length_b 6.796
_cell_length_c 8.325
_cell_angle_alpha 90.00
_cell_angle_beta 90.00
_cell_angle_gamma 90.00
loop_
_symmetry_equiv_pos_as_xyz
'x,y,z'
'-x,-y,-z'
'-x+1/2,-y+1/2,z'
'x+1/2,y+1/2,-z'
'x+1/2,-y,-z'
'-x+1/2,y,z'
'-x,y+1/2,-z'
'x,-y+1/2,z'
loop_
_atom_site_label
_atom_site_fract_x
_atom_site_fract_y
_atom_site_fract_z
Er1 0.250 0.004 0.154
Er2 0.250 0.750 0.562
Tl1 0.250 0.250 0.680
Ir1 0.250 0.750 0.889
# Magnetization: 0.00 μB/f.u.
# ΔE_f: -551.2 meV/atom
# Electronic total energy: -55.3 eV per cell
# Relative energy among the computed polymorphs: 0.0 meV/atom

=====

Record 5
# PBE LaCrRe2, relaxed
data_LaCrRe2
_symmetry_space_group_name_H-M 'C m m m'
_symmetry_Int_Tables_number 65
_symmetry_space_group_name_Hall '-C 2 2'
_cell_length_a 3.104
_cell_length_b 4.682
_cell_length_c 9.409
_cell_angle_alpha 90.00
_cell_angle_beta 90.00
_cell_angle_gamma 90.00
loop_
_atom_site_label
_atom_site_fract_x
_atom_site_fract_y
_atom_site_fract_z
La1 0.000 0.000 0.000
Cr1 0.000 0.000 0.500
Re1 0.000 0.500 0.293
# Magnetization: 0.00 μB/f.u.
# ΔE_f: 509.3 meV/atom
# Electronic total energy: -74.8 eV per cell
# Relative energy among the computed polymorphs: 165.8 meV/atom

=====

Record 6
# PBE AgOs2F, relaxed
data_AgOs2F
_symmetry_space_group_name_H-M 'F m -3 m'
_symmetry_Int_Tables_number 225
_symmetry_space_group_name_Hall '-F 4 2 3'
_cell_length_a 6.123
_cell_length_b 6.123
_cell_length_c 6.123
_cell_angle_alpha 90.00
_cell_angle_beta 90.00
_cell_angle_gamma 90.00
loop_
_atom_site_label
_atom_site_fract_x
_atom_site_fract_y
_atom_site_fract_z
Ag1 0.000 0.000 0.000
Os1 0.250 0.250 0.250
F1 0.000 0.000 0.500
# Magnetization: 0.00 μB/f.u.
# Electronic total energy: -87.9 eV per cell
# Relative energy among the computed polymorphs: 571.5 meV/atom
# E_form (uncorrected): 1300 meV/atom

=====

Record 7
# PBE TcBN2O, relaxed
data_TcBN2O
_symmetry_space_group_name_H-M 'P 4/m m m'
_symmetry_Int_Tables_number 123
_symmetry_space_group_name_Hall '-P 4 2'
_cell_length_a 3.350
_cell_length_b 3.350
_cell_length_c 3.417
_cell_angle_alpha 90.00
_cell_angle_beta 90.00
_cell_angle_gamma 90.00
loop_
_atom_site_label
_atom_site_fract_x
_atom_site_fract_y
_atom_site_fract_z
Tc1 0.000 0.000 0.000
B1 0.500 0.500 0.500
N1 0.000 0.500 0.500
O1 0.500 0.500 0.000
# Magnetization: 0.16 μB/f.u.
# Electronic total energy: -35.1 eV per cell
# E_form (uncorrected): 718 meV/atom